(1)
Computed, not measured: a geometry-optimized La2Zn3SiNi12 structure at the PBE level of DFT.

Results
DOS(E_F) in states/eV/atom: 0.72
ΔE_f (raw) in eV per atom: -0.019
Space group: R-3m (166)

Cell: 9.0326 9.0326 9.0326 Å, 39.72 39.72 39.72°
Element x y z (fractional)
1 Ni 0.0685 0.0685 0.6557
2 Ni 0.6557 0.0685 0.0685
3 Ni 0.5772 0.1898 0.5772
4 Ni 0.1898 0.5772 0.5772
5 Ni 0.0685 0.6557 0.0685
6 Ni 0.3443 0.9315 0.9315
7 Ni 0.4228 0.4228 0.8102
8 Ni 0.9315 0.3443 0.9315
9 Ni 0.8102 0.4228 0.4228
10 Ni 0.5772 0.5772 0.1898
11 Ni 0.4228 0.8102 0.4228
12 Ni 0.9315 0.9315 0.3443
13 Zn 0.5000 0.0000 0.0000
14 Zn 0.0000 0.5000 0.0000
15 Zn 0.0000 0.0000 0.5000
16 Si 0.0000 0.0000 0.0000
17 La 0.6579 0.6579 0.6579
18 La 0.3421 0.3421 0.3421

(2)
Computed, not measured: a geometry-optimized La2ZnSiNi6 structure at the PBE level of DFT.

Results
DOS(E_F) in states/eV/atom: 0.75
ΔE_f (raw) in eV per atom: -0.330
Space group: P-1 (2)

Cell: 6.2165 6.0485 6.1908 Å, 58.92 60.58 89.04°
Element x y z (fractional)
1 La 0.7091 0.1186 0.5895
2 La 0.2909 0.8814 0.4104
3 Si 0.0000 0.0000 0.0000
4 Zn 0.5000 0.5000 0.0000
5 Ni 0.1182 0.6170 0.0577
6 Ni 0.6746 0.6290 0.1982
7 Ni 0.3254 0.3710 0.8018
8 Ni 0.8818 0.3830 0.9423
9 Ni 0.1798 0.3716 0.4989
10 Ni 0.8202 0.6284 0.5011